## RbTcAg2F8 (GGA-PBE)

Data for crystalline RbTcAg2F8 at its relaxed geometry.

Unit cell a=5.4718 b=5.4718 c=8.5210 alpha=90.00 beta=90.00 gamma=120.00
Space group P-3m1 (No. 164)
Inequivalent atoms, fractional coordinates:
Rb 0.0000 0.0000 0.0000 [1 per cell]
Tc 0.0000 0.0000 0.5000 [1 per cell]
Ag 0.3333 0.6667 0.3162 [2 per cell]
F 0.1644 0.3288 0.6343 [6 per cell]
F 0.3333 0.6667 0.0722 [2 per cell]

Properties
- formation energy (no corrections) (eV per atom) = -1.730

---

## RbAg2TeF8 (GGA-PBE)

Data for crystalline RbAg2TeF8 at its relaxed geometry.

Unit cell a=4.931 b=5.672 c=8.102 alpha=82.94 beta=86.32 gamma=88.83
Space group P-1 (No. 2)
Inequivalent atoms, fractional coordinates:
Rb 0.000 0.000 0.000 [1 per cell]
Ag 0.440 0.477 0.224 [2 per cell]
Te 0.000 0.000 0.500 [1 per cell]
F 0.143 0.787 0.702 [2 per cell]
F 0.175 0.783 0.334 [2 per cell]
F 0.327 0.230 0.463 [2 per cell]
F 0.472 0.269 0.997 [2 per cell]

Properties
- formation energy (no corrections) (eV per atom) = -1.795

---

## Rb2AgTeF6 (GGA-PBE)

Data for crystalline Rb2AgTeF6 at its relaxed geometry.

Unit cell a=6.545 b=6.545 c=9.832 alpha=90.00 beta=90.00 gamma=90.00
Space group I4/mmm (No. 139)
Inequivalent atoms, fractional coordinates:
Rb 0.000 0.500 0.250 [4 per cell]
Ag 0.000 0.000 0.000 [2 per cell]
Te 0.000 0.000 0.500 [2 per cell]
F 0.000 0.000 0.227 [4 per cell]
F 0.227 0.227 0.500 [8 per cell]

Properties
- formation energy (no corrections) (eV per atom) = -2.001

---

## RbTiAgF6 (GGA-PBE)

Data for crystalline RbTiAgF6 at its relaxed geometry.

Unit cell a=5.425 b=6.062 c=6.067 alpha=60.24 beta=89.40 gamma=89.83
Space group P1 (No. 1)
Inequivalent atoms, fractional coordinates:
Rb 0.000 0.000 0.000 [1 per cell]
Ti 0.507 0.338 0.331 [1 per cell]
Ag 0.496 0.667 0.668 [1 per cell]
F 0.294 0.348 0.577 [1 per cell]
F 0.313 0.081 0.328 [1 per cell]
F 0.316 0.596 0.063 [1 per cell]
F 0.697 0.591 0.354 [1 per cell]
F 0.699 0.076 0.585 [1 per cell]
F 0.719 0.357 0.073 [1 per cell]

Properties
- formation energy (no corrections) (eV per atom) = -2.814

---

## Rb2TiAgF6 (GGA-PBE)

Data for crystalline Rb2TiAgF6 at its relaxed geometry.

Unit cell a=6.282 b=6.282 c=8.899 alpha=90.00 beta=90.00 gamma=90.00
Space group I4/mmm (No. 139)
Inequivalent atoms, fractional coordinates:
Rb 0.000 0.500 0.250 [4 per cell]
Ti 0.000 0.000 0.000 [2 per cell]
Ag 0.000 0.000 0.500 [2 per cell]
F 0.000 0.000 0.227 [4 per cell]
F 0.223 0.223 0.000 [8 per cell]

Properties
- formation energy (no corrections) (eV per atom) = -2.681

---

## Rb2TlAgF6 (GGA-PBE)

Data for crystalline Rb2TlAgF6 at its relaxed geometry.

Unit cell a=9.201 b=9.201 c=9.201 alpha=90.00 beta=90.00 gamma=90.00
Space group Fm-3m (No. 225)
Inequivalent atoms, fractional coordinates:
Rb 0.250 0.250 0.250 [8 per cell]
Tl 0.000 0.000 0.000 [4 per cell]
Ag 0.000 0.000 0.500 [4 per cell]
F 0.000 0.000 0.240 [24 per cell]

Properties
- formation energy (no corrections) (eV per atom) = -2.095
- distance to the lowest polymorph of the same formula (meV/atom) = 8.8

---

## RbTlAg2F5 (GGA-PBE)

Data for crystalline RbTlAg2F5 at its relaxed geometry.

Unit cell a=4.447 b=4.447 c=8.601 alpha=90.00 beta=90.00 gamma=90.00
Space group P4/mmm (No. 123)
Inequivalent atoms, fractional coordinates:
Rb 0.000 0.000 0.000 [1 per cell]
Tl 0.000 0.000 0.500 [1 per cell]
Ag 0.500 0.500 0.275 [2 per cell]
F 0.000 0.500 0.289 [4 per cell]
F 0.500 0.500 0.000 [1 per cell]

Properties
- formation energy (no corrections) (eV per atom) = -1.640

---

## RbTlAgF6 (GGA-PBE)

Data for crystalline RbTlAgF6 at its relaxed geometry.

Unit cell a=5.825 b=5.952 c=5.959 alpha=116.21 beta=91.21 gamma=91.15
Space group P1 (No. 1)
Inequivalent atoms, fractional coordinates:
Rb 0.000 0.000 0.000 [1 per cell]
Tl 0.500 0.335 0.665 [1 per cell]
Ag 0.500 0.675 0.324 [1 per cell]
F 0.263 0.044 0.631 [1 per cell]
F 0.310 0.377 0.354 [1 per cell]
F 0.318 0.636 0.991 [1 per cell]
F 0.682 0.009 0.364 [1 per cell]
F 0.691 0.647 0.622 [1 per cell]
F 0.739 0.371 0.956 [1 per cell]

Properties
- formation energy (no corrections) (eV per atom) = -1.833